Entry P
{
  "formula": "BaPtIN2",
  "functional": "GGA-PBE",
  "state": "optimized geometry",
  "lattice": [[4.473, 0.000, 0.000], [0.000, 4.473, 0.000], [0.000, 0.000, 5.452]],
  "species": ["Ba", "Pt", "I", "N", "N"],
  "frac_coords": [[0.000, 0.000, 0.000], [0.500, 0.500, 0.500], [0.500, 0.500, 0.000], [0.000, 0.500, 0.500], [0.500, 0.000, 0.500]],
  "n_ef_per_ev_atom": 0.45
}

***

Entry Q
{
  "formula": "BaPtIN2",
  "functional": "GGA-PBE",
  "state": "optimized geometry",
  "lattice": [[4.502, 0.000, 0.000], [0.000, 4.502, 0.000], [0.000, 0.000, 7.380]],
  "species": ["Ba", "Pt", "I", "N", "N"],
  "frac_coords": [[0.000, 0.000, 0.000], [0.500, 0.500, 0.500], [0.000, 0.000, 0.500], [0.000, 0.500, 0.000], [0.500, 0.000, 0.000]],
  "n_ef_per_ev_atom": 0.90
}

***

entry P ends up most stable, edging out the next structure by 1101 meV/atom.

***

Entry P
{
  "formula": "BaReI2N",
  "functional": "GGA-PBE",
  "state": "optimized geometry",
  "lattice": [[6.799, 0.000, 0.000], [0.000, 6.799, 0.000], [0.000, 0.000, 5.390]],
  "species": ["Ba", "Re", "I", "I", "N"],
  "frac_coords": [[0.000, 0.000, 0.000], [0.500, 0.500, 0.500], [0.000, 0.500, 0.000], [0.500, 0.000, 0.000], [0.000, 0.000, 0.500]],
  "n_ef_per_ev_atom": 0.42
}

***

Entry Q
{
  "formula": "BaReI2N",
  "functional": "GGA-PBE",
  "state": "optimized geometry",
  "lattice": [[5.825, 0.000, 0.000], [0.000, 5.825, 0.000], [0.000, 0.000, 3.894]],
  "species": ["Ba", "Re", "I", "I", "N"],
  "frac_coords": [[0.000, 0.000, 0.000], [0.500, 0.500, 0.500], [0.000, 0.500, 0.500], [0.500, 0.000, 0.500], [0.500, 0.500, 0.000]],
  "n_ef_per_ev_atom": 0.41
}

***

entry Q ends up most stable, edging out the next structure by 1592 meV/atom.

***

Entry P
{
  "formula": "BaRhI2N",
  "functional": "GGA-PBE",
  "state": "optimized geometry",
  "lattice": [[6.738, 0.000, 0.000], [0.000, 6.738, 0.000], [0.000, 0.000, 5.323]],
  "species": ["Ba", "Rh", "I", "I", "N"],
  "frac_coords": [[0.000, 0.000, 0.000], [0.500, 0.500, 0.500], [0.000, 0.500, 0.000], [0.500, 0.000, 0.000], [0.000, 0.000, 0.500]],
  "n_ef_per_ev_atom": 1.47
}

***

Entry Q
{
  "formula": "BaRhI2N",
  "functional": "GGA-PBE",
  "state": "optimized geometry",
  "lattice": [[5.926, 0.000, 0.000], [0.000, 5.926, 0.000], [0.000, 0.000, 3.849]],
  "species": ["Ba", "Rh", "I", "I", "N"],
  "frac_coords": [[0.000, 0.000, 0.000], [0.500, 0.500, 0.500], [0.000, 0.500, 0.500], [0.500, 0.000, 0.500], [0.500, 0.500, 0.000]],
  "n_ef_per_ev_atom": 0.45
}

***

entry Q ends up most stable, edging out the next structure by 1276 meV/atom.

***

Entry P
{
  "formula": "BaRuIN2",
  "functional": "GGA-PBE",
  "state": "optimized geometry",
  "lattice": [[4.664, 0.000, 0.000], [0.000, 4.664, 0.000], [0.000, 0.000, 6.973]],
  "species": ["Ba", "Ru", "I", "N", "N"],
  "frac_coords": [[0.000, 0.000, 0.000], [0.500, 0.500, 0.500], [0.000, 0.000, 0.500], [0.000, 0.500, 0.000], [0.500, 0.000, 0.000]],
  "n_ef_per_ev_atom": 1.81
}

***

Entry Q
{
  "formula": "BaRuIN2",
  "functional": "GGA-PBE",
  "state": "optimized geometry",
  "lattice": [[4.295, 0.000, 0.000], [0.000, 4.295, 0.000], [0.000, 0.000, 5.446]],
  "species": ["Ba", "Ru", "I", "N", "N"],
  "frac_coords": [[0.000, 0.000, 0.000], [0.500, 0.500, 0.500], [0.500, 0.500, 0.000], [0.000, 0.500, 0.500], [0.500, 0.000, 0.500]],
  "n_ef_per_ev_atom": 0.55
}

***

entry Q ends up most stable, edging out the next structure by 1506 meV/atom.

***

Entry P
{
  "formula": "BaRuI2N",
  "functional": "GGA-PBE",
  "state": "optimized geometry",
  "lattice": [[6.733, 0.000, 0.000], [0.000, 6.733, 0.000], [0.000, 0.000, 5.178]],
  "species": ["Ba", "Ru", "I", "I", "N"],
  "frac_coords": [[0.000, 0.000, 0.000], [0.500, 0.500, 0.500], [0.000, 0.500, 0.000], [0.500, 0.000, 0.000], [0.000, 0.000, 0.500]],
  "n_ef_per_ev_atom": 0.59
}

***

Entry Q
{
  "formula": "BaRuI2N",
  "functional": "GGA-PBE",
  "state": "optimized geometry",
  "lattice": [[5.860, 0.000, 0.000], [0.000, 5.860, 0.000], [0.000, 0.000, 3.843]],
  "species": ["Ba", "Ru", "I", "I", "N"],
  "frac_coords": [[0.000, 0.000, 0.000], [0.500, 0.500, 0.500], [0.000, 0.500, 0.500], [0.500, 0.000, 0.500], [0.500, 0.500, 0.000]],
  "n_ef_per_ev_atom": 0.52
}

***

entry Q ends up most stable, edging out the next structure by 1489 meV/atom.

***

Entry P
{
  "formula": "BaSIN2",
  "functional": "GGA-PBE",
  "state": "optimized geometry",
  "lattice": [[4.337, 0.000, 0.000], [0.000, 4.337, 0.000], [0.000, 0.000, 5.284]],
  "species": ["Ba", "S", "I", "N", "N"],
  "frac_coords": [[0.000, 0.000, 0.000], [0.500, 0.500, 0.000], [0.500, 0.500, 0.500], [0.000, 0.500, 0.500], [0.500, 0.000, 0.500]],
  "n_ef_per_ev_atom": 0.46
}

***

Entry Q
{
  "formula": "BaSIN2",
  "functional": "GGA-PBE",
  "state": "optimized geometry",
  "lattice": [[5.249, 0.000, 0.000], [0.000, 5.249, 0.000], [0.000, 0.000, 6.358]],
  "species": ["Ba", "S", "I", "N", "N"],
  "frac_coords": [[0.000, 0.000, 0.000], [0.000, 0.000, 0.500], [0.500, 0.500, 0.500], [0.000, 0.500, 0.000], [0.500, 0.000, 0.000]],
  "n_ef_per_ev_atom": 0.60
}

***

Entry R
{
  "formula": "BaSIN2",
  "functional": "GGA-PBE",
  "state": "optimized geometry",
  "lattice": [[4.588, 0.000, 0.000], [0.000, 4.588, 0.000], [0.000, 0.000, 5.309]],
  "species": ["Ba", "S", "I", "N", "N"],
  "frac_coords": [[0.000, 0.000, 0.000], [0.500, 0.500, 0.500], [0.500, 0.500, 0.000], [0.000, 0.500, 0.500], [0.500, 0.000, 0.500]],
  "n_ef_per_ev_atom": 0.66
}

***

entry P ends up most stable, edging out the next structure by 376 meV/atom.

***

Entry P
{
  "formula": "BaSbIN2",
  "functional": "GGA-PBE",
  "state": "optimized geometry",
  "lattice": [[4.505, 0.000, 0.000], [0.000, 4.505, 0.000], [0.000, 0.000, 5.980]],
  "species": ["Ba", "Sb", "I", "N", "N"],
  "frac_coords": [[0.000, 0.000, 0.000], [0.500, 0.500, 0.500], [0.500, 0.500, 0.000], [0.000, 0.500, 0.500], [0.500, 0.000, 0.500]],
  "n_ef_per_ev_atom": 0.26
}

***

Entry Q
{
  "formula": "BaSbIN2",
  "functional": "GGA-PBE",
  "state": "optimized geometry",
  "lattice": [[4.801, 0.000, 0.000], [0.000, 4.801, 0.000], [0.000, 0.000, 7.195]],
  "species": ["Ba", "Sb", "I", "N", "N"],
  "frac_coords": [[0.000, 0.000, 0.000], [0.500, 0.500, 0.500], [0.000, 0.000, 0.500], [0.000, 0.500, 0.000], [0.500, 0.000, 0.000]],
  "n_ef_per_ev_atom": 0.87
}

***

entry P ends up most stable, edging out the next structure by 895 meV/atom.

***

Entry P
{
  "formula": "BaScI2N",
  "functional": "GGA-PBE",
  "state": "optimized geometry",
  "lattice": [[6.625, 0.000, 0.000], [0.000, 6.625, 0.000], [0.000, 0.000, 4.424]],
  "species": ["Ba", "Sc", "I", "I", "N"],
  "frac_coords": [[0.000, 0.000, 0.000], [0.500, 0.500, 0.500], [0.000, 0.500, 0.000], [0.500, 0.000, 0.000], [0.000, 0.000, 0.500]],
  "n_ef_per_ev_atom": 1.20
}

***

Entry Q
{
  "formula": "BaScI2N",
  "functional": "GGA-PBE",
  "state": "optimized geometry",
  "lattice": [[6.069, 0.000, 0.000], [0.000, 6.069, 0.000], [0.000, 0.000, 4.072]],
  "species": ["Ba", "Sc", "I", "I", "N"],
  "frac_coords": [[0.000, 0.000, 0.000], [0.500, 0.500, 0.500], [0.000, 0.500, 0.500], [0.500, 0.000, 0.500], [0.500, 0.500, 0.000]],
  "n_ef_per_ev_atom": 0.30
}

***

entry Q ends up most stable, edging out the next structure by 1251 meV/atom.

***

Entry P
{
  "formula": "BaSe2IN",
  "functional": "GGA-PBE",
  "state": "optimized geometry",
  "lattice": [[5.657, 0.000, 0.000], [0.000, 5.657, 0.000], [0.000, 0.000, 4.140]],
  "species": ["Ba", "Se", "Se", "I", "N"],
  "frac_coords": [[0.000, 0.000, 0.000], [0.000, 0.500, 0.500], [0.500, 0.000, 0.500], [0.500, 0.500, 0.500], [0.500, 0.500, 0.000]],
  "n_ef_per_ev_atom": 0.70
}

***

Entry Q
{
  "formula": "BaSe2IN",
  "functional": "GGA-PBE",
  "state": "optimized geometry",
  "lattice": [[6.495, 0.000, 0.000], [0.000, 6.495, 0.000], [0.000, 0.000, 5.366]],
  "species": ["Ba", "Se", "Se", "I", "N"],
  "frac_coords": [[0.000, 0.000, 0.000], [0.000, 0.500, 0.000], [0.500, 0.000, 0.000], [0.500, 0.500, 0.500], [0.000, 0.000, 0.500]],
  "n_ef_per_ev_atom": 0.81
}

***

entry P ends up most stable, edging out the next structure by 702 meV/atom.

***

Entry P
{
  "formula": "BaSeI2N",
  "functional": "GGA-PBE",
  "state": "optimized geometry",
  "lattice": [[6.445, 0.000, 0.000], [0.000, 6.445, 0.000], [0.000, 0.000, 3.873]],
  "species": ["Ba", "Se", "I", "I", "N"],
  "frac_coords": [[0.000, 0.000, 0.000], [0.500, 0.500, 0.500], [0.000, 0.500, 0.500], [0.500, 0.000, 0.500], [0.500, 0.500, 0.000]],
  "n_ef_per_ev_atom": 0.46
}

***

Entry Q
{
  "formula": "BaSeI2N",
  "functional": "GGA-PBE",
  "state": "optimized geometry",
  "lattice": [[6.752, 0.000, 0.000], [0.000, 6.752, 0.000], [0.000, 0.000, 5.335]],
  "species": ["Ba", "Se", "I", "I", "N"],
  "frac_coords": [[0.000, 0.000, 0.000], [0.500, 0.500, 0.500], [0.000, 0.500, 0.000], [0.500, 0.000, 0.000], [0.000, 0.000, 0.500]],
  "n_ef_per_ev_atom": 2.53
}

***

entry P ends up most stable, edging out the next structure by 685 meV/atom.

***

Entry P
{
  "formula": "BaSnI2N",
  "functional": "GGA-PBE",
  "state": "optimized geometry",
  "lattice": [[6.448, 0.000, 0.000], [0.000, 6.448, 0.000], [0.000, 0.000, 4.071]],
  "species": ["Ba", "Sn", "I", "I", "N"],
  "frac_coords": [[0.000, 0.000, 0.000], [0.500, 0.500, 0.500], [0.000, 0.500, 0.500], [0.500, 0.000, 0.500], [0.500, 0.500, 0.000]],
  "n_ef_per_ev_atom": 0.18
}

***

Entry Q
{
  "formula": "BaSnI2N",
  "functional": "GGA-PBE",
  "state": "optimized geometry",
  "lattice": [[6.718, 0.000, 0.000], [0.000, 6.718, 0.000], [0.000, 0.000, 4.437]],
  "species": ["Ba", "Sn", "I", "I", "N"],
  "frac_coords": [[0.000, 0.000, 0.000], [0.500, 0.500, 0.500], [0.000, 0.500, 0.000], [0.500, 0.000, 0.000], [0.000, 0.000, 0.500]],
  "n_ef_per_ev_atom": 0.75
}

***

entry P ends up most stable, edging out the next structure by 616 meV/atom.

***

Entry P
{
  "formula": "BaSrI2N",
  "functional": "GGA-PBE",
  "state": "optimized geometry",
  "lattice": [[6.680, 0.000, 0.000], [0.000, 6.680, 0.000], [0.000, 0.000, 4.672]],
  "species": ["Ba", "Sr", "I", "I", "N"],
  "frac_coords": [[0.000, 0.000, 0.000], [0.500, 0.500, 0.500], [0.000, 0.500, 0.000], [0.500, 0.000, 0.000], [0.000, 0.000, 0.500]],
  "n_ef_per_ev_atom": 0.72
}

***

Entry Q
{
  "formula": "BaSrI2N",
  "functional": "GGA-PBE",
  "state": "optimized geometry",
  "lattice": [[6.368, 0.000, 0.000], [0.000, 6.368, 0.000], [0.000, 0.000, 4.514]],
  "species": ["Ba", "Sr", "I", "I", "N"],
  "frac_coords": [[0.000, 0.000, 0.000], [0.500, 0.500, 0.500], [0.000, 0.500, 0.500], [0.500, 0.000, 0.500], [0.500, 0.500, 0.000]],
  "n_ef_per_ev_atom": 0.66
}

***

entry Q ends up most stable, edging out the next structure by 200 meV/atom.